No. 1
Tb2Si5Ru3 | PBE | relaxed

Geometry as POSCAR:
```
Tb2Si5Ru3
1.0
-4.824 6.072 2.811
4.824 -6.072 2.811
4.824 6.072 -2.811
Tb Si Ru
4 10 6
direct
0.135 0.232 0.368
0.365 0.732 0.097
0.635 0.268 0.903
0.865 0.768 0.632
0.042 0.750 0.292
0.096 0.668 0.764
0.250 0.250 0.000
0.404 0.168 0.573
0.458 0.750 0.708
0.542 0.250 0.292
0.596 0.832 0.427
0.750 0.750 0.000
0.904 0.332 0.236
0.958 0.250 0.708
0.146 0.907 0.053
0.250 0.750 0.500
0.354 0.407 0.761
0.646 0.593 0.239
0.750 0.250 0.500
0.854 0.093 0.947
```

Output
**Calculated volume**: 329.4 Å³/cell
**Space group**: Ibam, No. 72

---

No. 2
Tb4Si3Ru | PBE | relaxed

Geometry as POSCAR:
```
Tb4Si3Ru
1.0
3.843 0.000 0.000
0.000 4.278 0.000
0.000 0.000 10.723
Tb Si Ru
4 3 1
direct
0.000 0.000 0.000
0.000 0.500 0.494
0.500 0.000 0.277
0.500 0.500 0.779
0.000 0.000 0.705
0.000 0.500 0.207
0.500 0.000 0.560
0.500 0.500 0.062
```

Output
**Calculated volume**: 176.3 Å³/cell
**Space group**: Pmm2, No. 25

---

No. 3
Tb2SiRu | PBE | relaxed

Geometry as POSCAR:
```
Tb2SiRu
1.0
5.900 0.000 0.000
0.000 3.748 0.000
-2.535 0.000 8.007
Tb Si Ru
4 2 2
direct
0.206 0.250 0.421
0.281 0.750 0.061
0.719 0.250 0.939
0.794 0.750 0.579
0.350 0.750 0.719
0.650 0.250 0.281
0.124 0.250 0.783
0.876 0.750 0.217
```

Output
**Calculated volume**: 177.1 Å³/cell
**Space group**: P2_1/m, No. 11

---

No. 4
TbSiRu | PBE | relaxed

Geometry as POSCAR:
```
TbSiRu
1.0
4.114 0.000 0.000
-2.057 3.563 0.000
0.000 0.000 4.033
Tb Si Ru
1 1 1
direct
0.000 0.000 0.000
0.667 0.333 0.500
0.333 0.667 0.500
```

Output
**Calculated volume**: 59.1 Å³/cell
**Space group**: P-6m2, No. 187

---

For reference, raw formation energy by record: -82.3, -68.9, -58.0, -61.2 kJ per mole of atoms.
For reference, total moment by record: 0.000, 0.000, 0.000, 0.000 μB/atom.